1.
First-principles (PBE-GGA) data for a relaxed Tb2Pr4DyTm crystal, as listed in Alexandria.

Unit cell a=5.154 b=5.181 c=10.084 alpha=90.00 beta=90.00 gamma=90.00
Space group Pmmm (No. 47)
Unique sites:
Tb 0.000 0.000 0.000
Tb 0.500 0.500 0.500
Pr 0.000 0.500 0.249
Pr 0.500 0.000 0.249
Dy 0.000 0.000 0.500
Tm 0.500 0.500 0.000

Values from the calculation:
The formation energy is 0.016 eV/atom. The theoretical density is 7.480 g/cm3. The value obtained for the magnetic moment is 0.000 μB per atom.


2.
First-principles (PBE-GGA) data for a relaxed NaBi2Te2 crystal, as listed in Alexandria.

Unit cell a=6.190 b=6.190 c=9.632 alpha=90.00 beta=90.00 gamma=90.00
Space group I4/mmm (No. 139)
Unique sites:
Na 0.000 0.000 0.000
Bi 0.000 0.000 0.336
Te 0.000 0.500 0.250

Values from the calculation:
The theoretical density is 6.265 g/cm3. Its formation energy from raw total energies is -0.194 eV per atom. The value obtained for the magnetic moment is 0.000 μB per atom. The value obtained for the energy above the most stable polymorph in this dataset is 0 meV per atom.


3.
First-principles (PBE-GGA) data for a relaxed CsInSbTe3 crystal, as listed in Alexandria.

Unit cell a=9.697 b=5.082 c=11.163 alpha=90.00 beta=108.28 gamma=90.00
Space group P2_1/m (No. 11)
Unique sites:
Cs 0.213 0.250 0.242
In 0.107 0.250 0.611
Sb 0.332 0.750 0.880
Te 0.124 0.250 0.872
Te 0.211 0.750 0.543
Te 0.470 0.750 0.146

Values from the calculation:
The theoretical density is 4.783 g/cm3. Its formation energy from raw total energies is -0.418 eV per atom. The value obtained for the magnetic moment is 0.000 μB per atom.


4.
First-principles (PBE-GGA) data for a relaxed SrMgMn2 crystal, as listed in Alexandria.

Unit cell a=5.000 b=5.000 c=19.196 alpha=90.00 beta=90.00 gamma=90.00
Space group I4_1/amd (No. 141, origin choice 2)
Unique sites:
Sr 0.000 0.250 0.375
Mg 0.000 0.250 0.875
Mn 0.000 0.000 0.000

Values from the calculation:
The formation energy is 0.795 eV/atom. The theoretical density is 3.070 g/cm3. The value obtained for the magnetic moment is 1.819 μB per atom.


5.
First-principles (PBE-GGA) data for a relaxed Sr4Ta2O9 crystal, as listed in Alexandria.

Unit cell a=5.9488 b=5.9488 c=15.3825 alpha=90.00 beta=90.00 gamma=120.00
Space group P-3c1 (No. 165)
Unique sites:
Sr 0.3333 0.6667 0.0292
Sr 0.3333 0.6667 0.3017
Ta 0.0000 0.0000 0.1493
O 0.0000 0.2488 0.2500
O 0.0415 0.3095 0.9075

Values from the calculation:
The theoretical density is 6.033 g/cm3. Its formation energy from raw total energies is -2.979 eV per atom. The value obtained for the magnetic moment is 0.000 μB per atom. The value obtained for the energy above the most stable polymorph in this dataset is 34 meV per atom.


6.
First-principles (PBE-GGA) data for a relaxed K2BeIrCl crystal, as listed in Alexandria.

Unit cell a=6.251 b=6.251 c=4.292 alpha=90.00 beta=90.00 gamma=90.00
Space group P4/mmm (No. 123)
Unique sites:
K 0.000 0.500 0.000
Be 0.000 0.000 0.000
Ir 0.500 0.500 0.500
Cl 0.000 0.000 0.500

Values from the calculation:
The theoretical density is 3.117 g/cm3. Its formation energy from raw total energies is 0.897 eV per atom. The value obtained for the magnetic moment is 0.269 μB per atom.


7.
First-principles (PBE-GGA) data for a relaxed AcNd2Ge crystal, as listed in Alexandria.

Unit cell a=3.976 b=3.976 c=7.893 alpha=90.00 beta=90.00 gamma=90.00
Space group P4/mmm (No. 123)
Unique sites:
Ac 0.000 0.000 0.000
Nd 0.500 0.500 0.310
Ge 0.000 0.000 0.500

Values from the calculation:
The formation energy is -0.308 eV/atom. The theoretical density is 7.828 g/cm3. The value obtained for the magnetic moment is 0.000 μB per atom. The value obtained for the energy above the most stable polymorph in this dataset is 100 meV per atom.


8.
First-principles (PBE-GGA) data for a relaxed Ac5Mg2Sn5 crystal, as listed in Alexandria.

Unit cell a=14.065 b=4.692 c=13.735 alpha=90.00 beta=117.09 gamma=90.00
Space group C2/m (No. 12)
Unique sites:
Ac 0.000 0.000 0.000
Ac 0.102 0.500 0.769
Ac 0.156 0.500 0.497
Mg 0.209 0.500 0.263
Sn 0.000 0.000 0.500
Sn 0.099 0.000 0.282
Sn 0.215 0.500 0.049

Values from the calculation:
The formation energy is -0.475 eV/atom. The theoretical density is 7.315 g/cm3. The value obtained for the magnetic moment is 0.000 μB per atom. The value obtained for the energy above the most stable polymorph in this dataset is 114 meV per atom.


9.
First-principles (PBE-GGA) data for a relaxed PmPrAu6 crystal, as listed in Alexandria.

Unit cell a=8.877 b=4.765 c=9.093 alpha=90.00 beta=114.24 gamma=90.00
Space group C2/m (No. 12)
Unique sites:
Pm 0.000 0.000 0.000
Pr 0.000 0.500 0.500
Au 0.121 0.000 0.364
Au 0.125 0.500 0.872
Au 0.248 0.500 0.248

Values from the calculation:
The formation energy is -0.633 eV/atom. The theoretical density is 13.898 g/cm3. The value obtained for the magnetic moment is 0.000 μB per atom.


10.
First-principles (PBE-GGA) data for a relaxed Rb2InSiS4 crystal, as listed in Alexandria.

Unit cell a=7.551 b=7.551 c=8.594 alpha=90.00 beta=90.00 gamma=90.00
Space group I-4 (No. 82)
Unique sites:
Rb 0.000 0.000 0.000
Rb 0.000 0.500 0.250
In 0.000 0.500 0.750
Si 0.000 0.000 0.500
S 0.142 0.195 0.634

Values from the calculation:
The theoretical density is 2.997 g/cm3. Its formation energy from raw total energies is -0.846 eV per atom. The value obtained for the magnetic moment is 0.104 μB per atom.


11.
First-principles (PBE-GGA) data for a relaxed CdSiGeN crystal, as listed in Alexandria.

Unit cell a=8.979 b=2.923 c=7.013 alpha=90.00 beta=115.72 gamma=90.00
Space group Cm (No. 8)
Unique sites:
Cd 0.000 0.000 0.000
Si 0.468 0.500 0.611
Ge 0.166 0.500 0.379
N 0.048 0.500 0.553

Values from the calculation:
The theoretical density is 4.548 g/cm3. Its formation energy from raw total energies is 0.006 eV per atom. The value obtained for the magnetic moment is 0.000 μB per atom. The value obtained for the energy above the most stable polymorph in this dataset is 0 meV per atom.


12.
First-principles (PBE-GGA) data for a relaxed KTh4Te5 crystal, as listed in Alexandria.

Unit cell a=3.872 b=3.872 c=20.121 alpha=90.00 beta=90.00 gamma=90.00
Space group P4/mmm (No. 123)
Unique sites:
K 0.000 0.000 0.000
Th 0.000 0.000 0.211
Th 0.000 0.000 0.404
Te 0.500 0.500 0.122
Te 0.500 0.500 0.309
Te 0.500 0.500 0.500

Values from the calculation:
The theoretical density is 8.836 g/cm3. Its formation energy from raw total energies is -1.130 eV per atom. The value obtained for the magnetic moment is 0.000 μB per atom.